Record 1
## RbGe2Pt2 (PBE)

Data for a relaxed RbGe2Pt2 crystal.

Output
electronic total energy: -4.926 eV per atom
formation energy: -0.469 eV/atom
magnetization: 0.00 μB/f.u.

Cell and atoms, written as extended XYZ:
```
5
Lattice="4.333 0.118 -0.193 -0.805 4.259 -0.193 -1.466 -1.819 6.999" Properties=species:S:1:pos:R:3 pbc="T T T"
Rb 0.000 0.000 0.000
Ge 1.855 2.302 1.933
Ge 0.206 0.256 4.679
Pt -0.256 2.316 3.306
Pt 2.317 0.242 3.306
```

=====

Record 2
## Nd5FeBr5 (PBE)

Data for a relaxed Nd5FeBr5 crystal.

Output
electronic total energy: -4.807 eV per atom
magnetization: 0.00 μB/f.u.
formation energy (no corrections): -1.11 eV/atom

Cell and atoms, written as extended XYZ:
```
11
Lattice="-4.135 1.724 -3.955 -0.630 -6.859 2.184 -3.636 5.226 6.080" Properties=species:S:1:pos:R:3 pbc="T T T"
Nd -4.366 -2.462 -1.024
Nd -6.652 0.311 2.576
Nd -2.067 0.862 -1.977
Nd -1.749 -0.220 1.733
Nd -4.036 2.553 5.333
Fe 0.000 0.000 0.000
Br -4.296 0.633 0.253
Br -5.733 3.215 2.881
Br -1.818 2.613 3.040
Br -2.669 -3.125 1.428
Br -4.106 -0.542 4.056
```

=====

Record 3
## CeTiSe4 (PBE)

Data for a relaxed CeTiSe4 crystal.

Output
electronic total energy: -5.816 eV per atom
magnetization: 0.16 μB/f.u.
formation energy (no corrections): -1.19 eV/atom

Cell and atoms, written as extended XYZ:
```
12
Lattice="6.078 0.000 0.000 0.000 7.548 -0.384 0.000 -3.345 7.173" Properties=species:S:1:pos:R:3 pbc="T T T"
Ce 0.000 2.101 3.395
Ce 3.039 -1.673 3.586
Ti 3.039 3.774 -0.192
Ti 0.000 0.000 0.000
Se 1.562 5.630 0.749
Se 1.477 1.856 0.941
Se 4.493 3.879 1.830
Se 1.454 4.098 4.768
Se 4.624 0.105 2.022
Se 1.585 0.324 4.959
Se 4.601 2.347 5.848
Se 4.516 -1.427 6.040
```

=====

Record 4
## TlZn2Os (PBE)

Data for a relaxed TlZn2Os crystal.

Output
electronic total energy: -3.519 eV per atom
formation energy: 0.517 eV/atom
magnetization: 0.52 μB/f.u.

Cell and atoms, written as extended XYZ:
```
4
Lattice="2.883 -0.007 0.000 -1.228 2.609 0.000 0.000 0.000 9.797" Properties=species:S:1:pos:R:3 pbc="T T T"
Os 0.828 1.301 2.449
Tl 0.828 1.301 7.347
Zn 0.000 0.000 0.381
Zn 0.000 0.000 4.517
```

=====

Record 5
## Nd3Zn3Si (PBE)

Data for a relaxed Nd3Zn3Si crystal.

Output
electronic total energy: -3.766 eV per atom
magnetization: 0.00 μB/f.u.
formation energy (no corrections): -0.40 eV/atom

Cell and atoms, written as extended XYZ:
```
7
Lattice="4.140 0.000 -0.903 -0.203 4.002 -0.930 0.049 0.250 10.167" Properties=species:S:1:pos:R:3 pbc="T T T"
Nd 1.179 3.430 5.406
Nd 2.832 0.849 3.039
Nd 3.960 4.222 8.209
Zn 0.451 2.617 2.068
Zn 3.540 1.639 6.285
Zn 2.223 2.285 0.250
Si 1.763 1.966 8.080
```

=====

Record 6
## K2TcAu (PBE)

Data for a relaxed K2TcAu crystal.

Output
electronic total energy: -3.044 eV per atom
formation energy: 0.915 eV/atom
magnetization: 0.82 μB/f.u.

Cell and atoms, written as extended XYZ:
```
4
Lattice="5.945 0.005 -0.011 5.275 2.742 -0.011 0.583 0.143 5.513" Properties=species:S:1:pos:R:3 pbc="T T T"
Au 8.852 2.168 4.118
K 0.637 0.156 5.496
K 5.847 1.432 2.763
Tc 2.951 0.723 1.373
```

=====

Please write out number 2 again, unchanged.
## Nd5FeBr5 (PBE)

Data for a relaxed Nd5FeBr5 crystal.

Output
electronic total energy: -4.807 eV per atom
magnetization: 0.00 μB/f.u.
formation energy (no corrections): -1.11 eV/atom

Cell and atoms, written as extended XYZ:
```
11
Lattice="-4.135 1.724 -3.955 -0.630 -6.859 2.184 -3.636 5.226 6.080" Properties=species:S:1:pos:R:3 pbc="T T T"
Nd -4.366 -2.462 -1.024
Nd -6.652 0.311 2.576
Nd -2.067 0.862 -1.977
Nd -1.749 -0.220 1.733
Nd -4.036 2.553 5.333
Fe 0.000 0.000 0.000
Br -4.296 0.633 0.253
Br -5.733 3.215 2.881
Br -1.818 2.613 3.040
Br -2.669 -3.125 1.428
Br -4.106 -0.542 4.056
```

=====

Q: What is the magnetization in the second record?
A: 0.00 μB/f.u.